Compound: BaCa2La
Source: Alexandria
Functional: PBE
Structure: relaxed

a b c (Å): 4.4006 6.2772 6.3748
angles (deg): 90.00 90.00 90.00
Element x y z (fractional)
Ca1 0.5000 0.5000 0.0000
La1 0.5000 0.0000 0.5000
Ba1 0.0000 0.5000 0.5000
Ca2 0.0000 0.0000 0.0000

Computed properties:
symmetry: Pmmm (47)
energy relative to the lowest polymorph listed for this composition: 0.056 eV/atom
calculated formation energy: 0.5 eV/f.u.
volume: 176.09 Å³ per cell
DFT total energy: -2.583 eV/atom

***

Compound: La3GdCo
Source: Alexandria
Functional: PBE
Structure: relaxed

a b c (Å): 5.4954 5.4954 5.4954
angles (deg): 90.00 90.00 90.00
Last column: magnetic moment on the atom in μB.
Element x y z (fractional)
La1 0.5000 0.0000 0.0000  0.07
La2 0.0000 0.0000 0.5000  0.07
La3 0.0000 0.5000 0.0000  0.07
Co1 0.0000 0.0000 0.0000  0.20
Gd1 0.5000 0.5000 0.5000  7.36

Computed properties:
symmetry: Pm-3m (221)
calculated formation energy: 0.1 eV/f.u.
volume: 165.96 Å³ per cell
DFT total energy: -7.180 eV/atom

***

Compound: Cs2CaAcI6
Source: Alexandria
Functional: PBE
Structure: relaxed

a b c (Å): 9.0447 8.9690 12.7482
angles (deg): 90.00 90.00 90.00
Last column: magnetic moment on the atom in μB.
Element x y z (fractional)
I1 0.0000 0.7506 0.2561  0.00
I2 0.7574 0.9940 0.5000  0.00
I3 0.2426 0.9940 0.5000  0.00
I4 0.7582 0.5029 0.5000  0.00
I5 0.2582 0.4971 0.0000  0.00
I6 0.0000 0.7506 0.7439  0.00
Cs1 0.5000 0.7523 0.7618  0.00
I7 0.7418 0.4971 0.0000  0.00
Ac1 0.0000 0.7510 0.0000  0.09
Cs2 0.5000 0.7523 0.2382  0.00
Cs3 0.0000 0.2477 0.7382  0.00
I8 0.5000 0.2494 0.7561  0.00
I9 0.7426 0.0060 0.0000  0.00
Ca1 0.0000 0.7488 0.5000  0.03
Cs4 0.0000 0.2477 0.2618  0.00
I10 0.2574 0.0060 0.0000  0.00
I11 0.5000 0.2494 0.2439  0.00
I12 0.2418 0.5029 0.5000  0.00
Ca2 0.5000 0.2512 0.0000  0.03
Ac2 0.5000 0.2490 0.5000  0.09

Computed properties:
symmetry: Pmmn (59)
uncorrected formation energy: -1.43 eV per atom
volume: 1034.16 Å³ per cell
DFT total energy: -3.140 eV/atom

***

Which value of volume does entry 3 give?
1034.16 Å³ per cell